SrTlBPb | Alexandria via LeMat-Bulk | PBE-GGA | optimized geometry; volume = 111 Å³/f.u.; excess energy over the best structure of this formula in the dataset = 0.680 eV/f.u.; space group = No. 44; energy of formation = 0.419 eV per atom
1.0
-1.189 -2.317 -2.599
-2.094 -1.605 2.388
-12.600 10.753 -3.820
B Tl Pb Sr
2 2 2 2
Cartesian
-4.258 1.968 -2.410 B
-11.011 7.701 -1.826 B
-7.932 5.073 -0.893 Tl
-1.179 -0.659 -1.477 Tl
-12.805 7.567 -3.490 Pb
-4.864 4.151 -1.475 Pb
-9.476 6.422 -3.992 Sr
-3.629 1.401 0.412 Sr